No. 1
# FePt2 (PBE, optimized geometry)
# DOS(E_F)	8.951	states/eV/cell
# DFT total energy	-0.518	Ry/atom
# energy of formation from the pure elements	-0.199	eV per atom
data_FePt2
_space_group_name_H-M_alt 'C m c m'
_space_group_IT_number 63
_space_group_name_Hall '-C 2c 2'
_cell_length_a 2.762
_cell_length_b 14.146
_cell_length_c 4.519
_cell_angle_alpha 90.00
_cell_angle_beta 90.00
_cell_angle_gamma 90.00
loop_
_atom_site_label
_atom_site_fract_x
_atom_site_fract_y
_atom_site_fract_z
Fe1 0.000 0.108 0.250
Pt1 0.000 0.229 0.750
Pt2 0.000 0.445 0.250

No. 2
# Ni2PbS (PBE, optimized geometry)
# formation energy without anion corrections	0.320	eV/atom
# DOS(E_F)	5.111	states/eV/cell
# DFT total energy	-0.333	Ry/atom
# energy relative to the lowest polymorph listed for this composition	0.483	eV/atom
data_Ni2PbS
_space_group_name_H-M_alt 'F m -3 m'
_space_group_IT_number 225
_space_group_name_Hall '-F 4 2 3'
_cell_length_a 6.306
_cell_length_b 6.306
_cell_length_c 6.306
_cell_angle_alpha 90.00
_cell_angle_beta 90.00
_cell_angle_gamma 90.00
loop_
_atom_site_label
_atom_site_fract_x
_atom_site_fract_y
_atom_site_fract_z
Ni1 0.250 0.250 0.250
Pb1 0.000 0.000 0.000
S1 0.000 0.000 0.500

No. 3
# Pu2TlSnCl8 (PBE, optimized geometry)
# formation energy without anion corrections	-1.517	eV/atom
# DOS(E_F)	28.634	states/eV/cell
# DFT total energy	-0.417	Ry/atom
data_Pu2TlSnCl8
_space_group_name_H-M_alt 'P 1 2/m 1'
_space_group_IT_number 10
_cell_length_a 6.673
_cell_length_b 8.680
_cell_length_c 6.931
_cell_angle_alpha 90.00
_cell_angle_beta 91.01
_cell_angle_gamma 90.00
loop_
_space_group_symop_operation_xyz
'x,y,z'
'-x,-y,-z'
'-x,y,-z'
'x,-y,z'
loop_
_atom_site_label
_atom_site_fract_x
_atom_site_fract_y
_atom_site_fract_z
Pu1 0.000 0.247 0.000
Tl1 0.500 0.500 0.500
Sn1 0.500 0.000 0.500
Cl1 0.219 0.500 0.868
Cl2 0.225 0.000 0.842
Cl3 0.249 0.225 0.323

No. 4
# Pa2TeBr2 (PBE, optimized geometry)
# formation energy without anion corrections	-0.929	eV/atom
# DOS(E_F)	15.828	states/eV/cell
# DFT total energy	-0.443	Ry/atom
data_Pa2TeBr2
_space_group_name_H-M_alt 'R -3 m'
_space_group_IT_number 166
_space_group_name_Hall '-R 3 2"'
_cell_length_a 3.6370
_cell_length_b 3.6370
_cell_length_c 38.2318
_cell_angle_alpha 90.00
_cell_angle_beta 90.00
_cell_angle_gamma 120.00
loop_
_atom_site_label
_atom_site_fract_x
_atom_site_fract_y
_atom_site_fract_z
Pa1 0.0000 0.0000 0.1066
Te1 0.0000 0.0000 0.5000
Br1 0.0000 0.0000 0.2817

No. 5
# RbNbCl2 (PBE, optimized geometry)
# formation energy without anion corrections	-0.520	eV/atom
# DOS(E_F)	5.379	states/eV/cell
# DFT total energy	-0.309	Ry/atom
# energy relative to the lowest polymorph listed for this composition	0.000	eV/atom
data_RbNbCl2
_space_group_name_H-M_alt 'R -3 m'
_space_group_IT_number 166
_space_group_name_Hall '-R 3 2"'
_cell_length_a 3.5933
_cell_length_b 3.5933
_cell_length_c 28.6247
_cell_angle_alpha 90.00
_cell_angle_beta 90.00
_cell_angle_gamma 120.00
loop_
_atom_site_label
_atom_site_fract_x
_atom_site_fract_y
_atom_site_fract_z
Rb1 0.0000 0.0000 0.0000
Nb1 0.0000 0.0000 0.5000
Cl1 0.0000 0.0000 0.4144

No. 6
# Ba3Mg3Tl2 (PBE, optimized geometry)
# DOS(E_F)	30.805	states/eV/cell
# DFT total energy	-0.155	Ry/atom
# energy of formation from the pure elements	-0.200	eV per atom
data_Ba3Mg3Tl2
_space_group_name_H-M_alt 'P n m a'
_space_group_IT_number 62
_cell_length_a 9.624
_cell_length_b 18.221
_cell_length_c 6.770
_cell_angle_alpha 90.00
_cell_angle_beta 90.00
_cell_angle_gamma 90.00
loop_
_space_group_symop_operation_xyz
'x,y,z'
'-x,-y,-z'
'-x+1/2,-y,z+1/2'
'x+1/2,y,-z+1/2'
'x+1/2,-y+1/2,-z+1/2'
'-x+1/2,y+1/2,z+1/2'
'-x,y+1/2,-z'
'x,-y+1/2,z'
loop_
_atom_site_label
_atom_site_fract_x
_atom_site_fract_y
_atom_site_fract_z
Ba1 0.041 0.106 0.124
Ba2 0.166 0.250 0.635
Mg1 0.173 0.750 0.622
Mg2 0.176 0.034 0.614
Tl1 0.114 0.604 0.375